Entry from Alexandria: crystalline CsTlInAu at its relaxed geometry (PBE).

Computed properties:
DFT formation energy = -0.1651 eV per atom

Cell: 7.7670 7.7670 7.7670 Å, 36.47 36.47 36.47°
Closest atoms and distances in Å follow each position.
Atoms (fractional coordinates):
1 Cs 0.0000 0.0000 0.0000  4 In 3.97-4.43, 4 Tl 3.97-4.43, 3 Au 4.20
2 Tl 0.7962 0.7962 0.7962  3 Au 3.09, 3 In 3.24
3 In 0.2039 0.2039 0.2039  3 Au 2.82
4 Au 0.5229 0.5229 0.5229  3 In 2.82, 3 Tl 3.09

Entry from Alexandria: crystalline Cs2TlInAu6 at its relaxed geometry (PBE).

Computed properties:
DFT formation energy = -0.0269 eV per atom

Cell: 7.7425 7.7425 7.7425 Å, 60.00 60.00 60.00°
Closest atoms and distances in Å follow each position.
Atoms (fractional coordinates):
1 Cs 0.2500 0.2500 0.2500  12 Au 3.87
2 Cs 0.7500 0.7500 0.7500  12 Au 3.87
3 Tl 0.0000 0.0000 0.0000  6 Au 2.77
4 In 0.5000 0.5000 0.5000  6 Au 2.70
5 Au 0.2532 0.2532 0.7468  1 In 2.70, 1 Tl 2.77
6 Au 0.2532 0.7468 0.2532  1 In 2.70, 1 Tl 2.77
7 Au 0.2532 0.7468 0.7468  1 In 2.70, 1 Tl 2.77
8 Au 0.7468 0.2532 0.2532  1 In 2.70, 1 Tl 2.77
9 Au 0.7468 0.2532 0.7468  1 In 2.70, 1 Tl 2.77
10 Au 0.7468 0.7468 0.2532  1 In 2.70, 1 Tl 2.77

Entry from Alexandria: crystalline Cs2TlInAu at its relaxed geometry (PBE).

Computed properties:
DFT formation energy = 0.0036 eV per atom

Cell: 6.8933 6.8933 5.3078 Å, 90.00 90.00 90.00°
Closest atoms and distances in Å follow each position.
Atoms (fractional coordinates):
1 Cs 0.0000 0.5000 0.0000  2 Au 3.45
2 Cs 0.5000 0.0000 0.0000  2 Au 3.45
3 Tl 0.0000 0.0000 0.5000  8 Cs 4.35
4 In 0.5000 0.5000 0.5000  2 Au 2.65
5 Au 0.5000 0.5000 0.0000  2 In 2.65

Entry from Alexandria: crystalline CsTl2InAu at its relaxed geometry (PBE).

Computed properties:
DFT formation energy = 0.0457 eV per atom
energy above the most stable polymorph in this dataset = 14 meV/atom

Cell: 6.0328 6.0328 5.4006 Å, 90.00 90.00 90.00°
Closest atoms and distances in Å follow each position.
Atoms (fractional coordinates):
1 Cs 0.0000 0.0000 0.0000  8 Tl 4.05, 4 Au 4.27
2 Tl 0.0000 0.5000 0.5000  2 In 3.02
3 Tl 0.5000 0.0000 0.5000  2 In 3.02
4 In 0.5000 0.5000 0.5000  2 Au 2.70, 4 Tl 3.02
5 Au 0.5000 0.5000 0.0000  2 In 2.70

Entry from Alexandria: crystalline Cs2TlIn2Au2 at its relaxed geometry (PBE).

Computed properties:
DFT formation energy = -0.1854 eV per atom

Cell: 7.7099 7.7099 10.0114 Å, 129.96 129.96 37.10°
Closest atoms and distances in Å follow each position.
Atoms (fractional coordinates):
1 Cs 0.1871 0.1871 0.1175  3 Au 3.64-3.93, 1 In 4.07
2 Cs 0.8129 0.8129 0.8825  3 Au 3.64-3.93, 1 In 4.07
3 Tl 0.0000 0.0000 0.5000  2 Au 2.90
4 In 0.4492 0.4492 0.6705  3 Au 2.86-2.88
5 In 0.5508 0.5508 0.3295  3 Au 2.86-2.88
6 Au 0.1912 0.1912 0.4850  3 In 2.86-2.88, 2 Au 2.89, 1 Tl 2.90
7 Au 0.8088 0.8088 0.5150  3 In 2.86-2.88, 2 Au 2.89, 1 Tl 2.90

Entry from Alexandria: crystalline CsTl2InAu at its relaxed geometry (PBE).

Computed properties:
DFT formation energy = 0.0316 eV per atom
energy above the most stable polymorph in this dataset = 0 meV/atom

Cell: 5.8151 5.8151 5.5419 Å, 90.00 90.00 90.00°
Closest atoms and distances in Å follow each position.
Atoms (fractional coordinates):
1 Cs 0.0000 0.0000 0.0000  8 Tl 4.02, 4 In 4.11
2 Tl 0.0000 0.5000 0.5000  2 Au 2.91
3 Tl 0.5000 0.0000 0.5000  2 Au 2.91
4 In 0.5000 0.5000 0.0000  2 Au 2.77
5 Au 0.5000 0.5000 0.5000  2 In 2.77, 4 Tl 2.91

Entry from Alexandria: crystalline Cs2Tl6InAu at its relaxed geometry (PBE).

Computed properties:
DFT formation energy = -0.0191 eV per atom

Cell: 14.0445 14.0445 14.0445 Å, 34.69 34.69 34.69°
Closest atoms and distances in Å follow each position.
Atoms (fractional coordinates):
1 Cs 0.1479 0.1479 0.1479  6 Tl 3.86-3.97
2 Cs 0.2911 0.2911 0.2911  1 In 3.67, 3 Tl 3.94
3 Cs 0.7089 0.7089 0.7089  1 In 3.67, 3 Tl 3.94
4 Cs 0.8521 0.8521 0.8521  6 Tl 3.86-3.97
5 Tl 0.1516 0.5968 0.5968  1 Au 2.97
6 Tl 0.1893 0.1893 0.8005  1 In 2.98, 1 Au 3.02, 2 Tl 3.26
7 Tl 0.1893 0.8005 0.1893  1 In 2.98, 1 Au 3.02, 2 Tl 3.26
8 Tl 0.1995 0.8107 0.8107  1 In 2.98, 1 Au 3.02, 2 Tl 3.26
9 Tl 0.4032 0.4032 0.8484  1 Au 2.97
10 Tl 0.4032 0.8484 0.4032  1 Au 2.97
11 Tl 0.5968 0.1516 0.5968  1 Au 2.97
12 Tl 0.5968 0.5968 0.1516  1 Au 2.97
13 Tl 0.8005 0.1893 0.1893  1 In 2.98, 1 Au 3.02, 2 Tl 3.26
14 Tl 0.8107 0.1995 0.8107  1 In 2.98, 1 Au 3.02, 2 Tl 3.26
15 Tl 0.8107 0.8107 0.1995  1 In 2.98, 1 Au 3.02, 2 Tl 3.26
16 Tl 0.8484 0.4032 0.4032  1 Au 2.97
17 In 0.3840 0.3840 0.3840  3 Tl 2.98
18 In 0.6160 0.6160 0.6160  3 Tl 2.98
19 Au 0.0000 0.0000 0.0000  6 Tl 3.02
20 Au 0.5000 0.5000 0.5000  6 Tl 2.97

Entry from Alexandria: crystalline CsTlInAu2 at its relaxed geometry (PBE).

Computed properties:
DFT formation energy = -0.1816 eV per atom

Cell: 7.0610 7.0610 7.0610 Å, 138.60 138.60 59.98°
Closest atoms and distances in Å follow each position.
Atoms (fractional coordinates):
1 Cs 0.0000 0.0000 0.0000  8 Au 3.80, 4 Tl 3.95, 4 In 3.95
2 Tl 0.2500 0.7500 0.5000  4 Au 2.98
3 In 0.7500 0.2500 0.5000  4 Au 2.98
4 Au 0.3839 0.3839 0.0000  1 Au 2.84, 2 Tl 2.98, 2 In 2.98
5 Au 0.6161 0.6161 0.0000  1 Au 2.84, 2 Tl 2.98, 2 In 2.98

Entry from Alexandria: crystalline CsTlIn2Au4 at its relaxed geometry (PBE).

Computed properties:
DFT formation energy = -0.1309 eV per atom

Cell: 12.6862 12.6862 12.6862 Å, 20.80 20.80 20.80°
Closest atoms and distances in Å follow each position.
Atoms (fractional coordinates):
1 Cs 0.0000 0.0000 0.0000  6 Au 3.72
2 Tl 0.5000 0.5000 0.5000  6 Au 3.04
3 In 0.2399 0.2399 0.2399  6 Au 2.78-2.91
4 In 0.7601 0.7601 0.7601  6 Au 2.78-2.91
5 Au 0.1263 0.1263 0.1263  3 In 2.91, 3 Tl 3.04
6 Au 0.4036 0.4036 0.4036  3 In 2.78
7 Au 0.5964 0.5964 0.5964  3 In 2.78
8 Au 0.8737 0.8737 0.8737  3 In 2.91, 3 Tl 3.04

Entry from Alexandria: crystalline CsZnInAu at its relaxed geometry (PBE).

Computed properties:
DFT formation energy = -0.2090 eV per atom

Cell: 4.6701 4.6701 7.4493 Å, 108.13 108.13 59.99°
Closest atoms and distances in Å follow each position.
Atoms (fractional coordinates):
1 Cs 0.0000 0.0000 0.0000  4 Zn 3.93-4.07, 4 In 3.95-4.03, 3 Au 4.05-4.07
2 Zn 0.8061 0.8061 0.4145  3 Au 2.70, 3 In 2.90
3 In 0.1905 0.1905 0.5685  3 Au 2.85, 3 Zn 2.90
4 Au 0.4799 0.4799 0.4360  3 Zn 2.70, 3 In 2.85

Entry from Alexandria: crystalline Cs3IrAu at its relaxed geometry (PBE).

Computed properties:
DFT formation energy = 0.4618 eV per atom
energy above the most stable polymorph in this dataset = 0 meV/atom

Cell: 6.2166 6.2166 6.2166 Å, 90.00 90.00 90.00°
Closest atoms and distances in Å follow each position.
Atoms (fractional coordinates):
1 Cs 0.0000 0.0000 0.5000  2 Ir 3.11
2 Cs 0.0000 0.5000 0.0000  2 Ir 3.11
3 Cs 0.5000 0.0000 0.0000  2 Ir 3.11
4 Ir 0.0000 0.0000 0.0000  6 Cs 3.11
5 Au 0.5000 0.5000 0.5000  12 Cs 4.40

Entry from Alexandria: crystalline Cs2IrAu at its relaxed geometry (PBE).

Computed properties:
DFT formation energy = 0.8255 eV per atom

Cell: 6.1785 6.1785 6.1785 Å, 60.00 60.00 60.00°
Closest atoms and distances in Å follow each position.
Atoms (fractional coordinates):
1 Cs 0.2500 0.2500 0.2500  4 Au 3.78, 4 Ir 3.78
2 Cs 0.7500 0.7500 0.7500  4 Ir 3.78, 4 Au 3.78
3 Ir 0.0000 0.0000 0.0000  8 Cs 3.78
4 Au 0.5000 0.5000 0.5000  8 Cs 3.78